# 1
Entry from the Alexandria database: a relaxed structure of Tb2PmY2Sc (PBE-GGA).

Cell lengths 6.935, 5.586, 9.634 Å; angles 90.00, 90.00, 90.00 degrees
Space group Pmma (No. 51)
One atom of each set of equivalent atoms:
Tb: 0.250 0.000 0.163
Tb: 0.250 0.500 0.673
Pm: 0.000 0.500 0.000
Y: 0.000 0.000 0.500
Y: 0.250 0.500 0.338
Sc: 0.250 0.000 0.829

Results
Magnetic moment   0.0 Bohr magnetons per cell
ΔH_f (0 K)   0.075 eV per atom



# 2
Entry from the Alexandria database: a relaxed structure of YPtRh3 (PBE-GGA).

Cell lengths 4.801, 4.801, 4.801 Å; angles 90.00, 90.00, 90.00 degrees
Space group Pm-3m (No. 221)
One atom of each set of equivalent atoms:
Y: 0.000 0.000 0.000
Pt: 0.500 0.500 0.500
Rh: 0.000 0.500 0.500

Results
ΔE to the lowest computed polymorph   0 meV/atom
Magnetic moment   1.9 Bohr magnetons per cell
ΔH_f (0 K)   0.597 eV per atom



# 3
Entry from the Alexandria database: a relaxed structure of La6Ru2RhCl3 (PBE-GGA).

Cell lengths 7.164, 12.414, 8.030 Å; angles 90.00, 107.31, 90.00 degrees
Space group C2/m (No. 12)
One atom of each set of equivalent atoms:
La: 0.229 0.000 0.205
La: 0.238 0.330 0.205
Ru: 0.000 0.166 0.000
Rh: 0.000 0.500 0.000
Cl: 0.000 0.000 0.500
Cl: 0.000 0.331 0.500

Results
Magnetic moment   0.0 Bohr magnetons per cell
Uncorrected formation energy   -25.80 kcal/mol of atoms



# 4
Entry from the Alexandria database: a relaxed structure of Te3Os (PBE-GGA).

Cell lengths 5.454, 9.485, 3.968 Å; angles 90.00, 90.00, 90.00 degrees
Space group Cmmm (No. 65)
One atom of each set of equivalent atoms:
Te: 0.000 0.000 0.000
Te: 0.000 0.313 0.500
Os: 0.000 0.500 0.000

Results
Magnetic moment   0.0 Bohr magnetons per cell
Uncorrected formation energy   3.98 kcal/mol of atoms



The following total energy values (in eV per atom) correspond, in order, to the records above: -5.47 -6.32 -6.20 -4.99.